[1]
# TcBiAsO | the Open Quantum Materials Database | PBE | optimized geometry
# Magnetic moment ... 0.005 μB per formula unit
# Crystal system ... orthorhombic
# Distance to the lowest polymorph of the same formula ... 320 meV per atom
data_TcBiAsO
_space_group_name_H-M_alt 'P m c 21'
_space_group_IT_number 26
_space_group_name_Hall 'P 2c -2'
_cell_length_a 4.338
_cell_length_b 6.490
_cell_length_c 5.748
_cell_angle_alpha 90.00
_cell_angle_beta 90.00
_cell_angle_gamma 90.00
loop_
_atom_site_label
_atom_site_type_symbol
_atom_site_fract_x
_atom_site_fract_y
_atom_site_fract_z
Tc1 Tc 0.000 0.073 0.000
Bi1 Bi 0.500 0.272 0.494
As1 As 0.500 0.253 0.979
O1 O 0.000 0.201 0.329

***

[2]
# TcBiAsO | the Open Quantum Materials Database | PBE | optimized geometry
# Magnetic moment ... 0.004 μB per formula unit
# Crystal system ... orthorhombic
# Distance to the lowest polymorph of the same formula ... 361 meV per atom
data_TcBiAsO
_space_group_name_H-M_alt 'P m c 21'
_space_group_IT_number 26
_space_group_name_Hall 'P 2c -2'
_cell_length_a 3.571
_cell_length_b 6.647
_cell_length_c 6.940
_cell_angle_alpha 90.00
_cell_angle_beta 90.00
_cell_angle_gamma 90.00
loop_
_atom_site_label
_atom_site_type_symbol
_atom_site_fract_x
_atom_site_fract_y
_atom_site_fract_z
Tc1 Tc 0.000 0.165 0.000
Bi1 Bi 0.500 0.415 0.570
As1 As 0.000 0.153 0.343
O1 O 0.500 0.258 0.914

***

[3]
# TcBiAsO | the Open Quantum Materials Database | PBE | optimized geometry
# Magnetic moment ... 0.009 μB per formula unit
# Crystal system ... tetragonal
# Distance to the lowest polymorph of the same formula ... 0 meV per atom
data_TcBiAsO
_space_group_name_H-M_alt 'P 4/n m m'
_space_group_IT_number 129
_cell_length_a 3.993
_cell_length_b 3.993
_cell_length_c 9.026
_cell_angle_alpha 90.00
_cell_angle_beta 90.00
_cell_angle_gamma 90.00
loop_
_space_group_symop_operation_xyz
'x,y,z'
'-x,-y,-z'
'-y+1/2,x,z'
'y+1/2,-x,-z'
'-x+1/2,-y+1/2,z'
'x+1/2,y+1/2,-z'
'y,-x+1/2,z'
'-y,x+1/2,-z'
'x+1/2,-y,-z'
'-x+1/2,y,z'
'-y,-x,-z'
'y,x,z'
'-x,y+1/2,-z'
'x,-y+1/2,z'
'y+1/2,x+1/2,-z'
'-y+1/2,-x+1/2,z'
loop_
_atom_site_label
_atom_site_type_symbol
_atom_site_fract_x
_atom_site_fract_y
_atom_site_fract_z
Tc1 Tc 0.250 0.750 0.000
Bi1 Bi 0.250 0.250 0.362
As1 As 0.250 0.250 0.832
O1 O 0.250 0.750 0.500

***

[4]
# TcBiAsO | the Open Quantum Materials Database | PBE | optimized geometry
# Magnetic moment ... 0.339 μB per formula unit
# Crystal system ... tetragonal
# Distance to the lowest polymorph of the same formula ... 488 meV per atom
data_TcBiAsO
_space_group_name_H-M_alt 'P 4/n m m'
_space_group_IT_number 129
_cell_length_a 4.232
_cell_length_b 4.232
_cell_length_c 10.059
_cell_angle_alpha 90.00
_cell_angle_beta 90.00
_cell_angle_gamma 90.00
loop_
_space_group_symop_operation_xyz
'x,y,z'
'-x,-y,-z'
'-y+1/2,x,z'
'y+1/2,-x,-z'
'-x+1/2,-y+1/2,z'
'x+1/2,y+1/2,-z'
'y,-x+1/2,z'
'-y,x+1/2,-z'
'x+1/2,-y,-z'
'-x+1/2,y,z'
'-y,-x,-z'
'y,x,z'
'-x,y+1/2,-z'
'x,-y+1/2,z'
'y+1/2,x+1/2,-z'
'-y+1/2,-x+1/2,z'
loop_
_atom_site_label
_atom_site_type_symbol
_atom_site_fract_x
_atom_site_fract_y
_atom_site_fract_z
Tc1 Tc 0.250 0.250 0.040
Bi1 Bi 0.250 0.750 0.500
As1 As 0.250 0.250 0.263
O1 O 0.250 0.750 0.000

***

[5]
# ZnBiAsO | the Open Quantum Materials Database | PBE | optimized geometry
# Crystal system ... trigonal
# Distance to the lowest polymorph of the same formula ... 21 meV per atom
data_ZnBiAsO
_space_group_name_H-M_alt 'R -3 m'
_space_group_IT_number 166
_space_group_name_Hall '-R 3 2"'
_cell_length_a 4.0726
_cell_length_b 4.0726
_cell_length_c 31.6534
_cell_angle_alpha 90.00
_cell_angle_beta 90.00
_cell_angle_gamma 120.00
loop_
_atom_site_label
_atom_site_type_symbol
_atom_site_fract_x
_atom_site_fract_y
_atom_site_fract_z
Zn1 Zn 0.0000 0.0000 0.1952
Bi1 Bi 0.0000 0.0000 0.3803
As1 As 0.0000 0.0000 0.1118
O1 O 0.0000 0.0000 0.3070

***

[6]
# ZnBiAsO | the Open Quantum Materials Database | PBE | optimized geometry
# Crystal system ... monoclinic
# Distance to the lowest polymorph of the same formula ... 166 meV per atom
data_ZnBiAsO
_space_group_name_H-M_alt 'C 1 m 1'
_space_group_IT_number 8
_space_group_name_Hall 'C -2y'
_cell_length_a 6.228
_cell_length_b 6.501
_cell_length_c 9.010
_cell_angle_alpha 90.00
_cell_angle_beta 93.91
_cell_angle_gamma 90.00
loop_
_atom_site_label
_atom_site_type_symbol
_atom_site_fract_x
_atom_site_fract_y
_atom_site_fract_z
Zn1 Zn 0.000 0.201 0.000
Bi1 Bi 0.304 0.500 0.460
Bi2 Bi 0.323 0.000 0.175
As1 As 0.123 0.500 0.747
As2 As 0.250 0.000 0.473
O1 O 0.231 0.290 0.863

***

[7]
# ZnBiAsO | the Open Quantum Materials Database | PBE | optimized geometry
# Crystal system ... tetragonal
# Distance to the lowest polymorph of the same formula ... 1 meV per atom
data_ZnBiAsO
_space_group_name_H-M_alt 'P 4/n m m'
_space_group_IT_number 129
_cell_length_a 4.002
_cell_length_b 4.002
_cell_length_c 9.134
_cell_angle_alpha 90.00
_cell_angle_beta 90.00
_cell_angle_gamma 90.00
loop_
_space_group_symop_operation_xyz
'x,y,z'
'-x,-y,-z'
'-y+1/2,x,z'
'y+1/2,-x,-z'
'-x+1/2,-y+1/2,z'
'x+1/2,y+1/2,-z'
'y,-x+1/2,z'
'-y,x+1/2,-z'
'x+1/2,-y,-z'
'-x+1/2,y,z'
'-y,-x,-z'
'y,x,z'
'-x,y+1/2,-z'
'x,-y+1/2,z'
'y+1/2,x+1/2,-z'
'-y+1/2,-x+1/2,z'
loop_
_atom_site_label
_atom_site_type_symbol
_atom_site_fract_x
_atom_site_fract_y
_atom_site_fract_z
Zn1 Zn 0.250 0.750 0.000
Bi1 Bi 0.250 0.250 0.364
As1 As 0.250 0.250 0.824
O1 O 0.250 0.750 0.500

***

[8]
# ZnBiAsO | the Open Quantum Materials Database | PBE | optimized geometry
# Crystal system ... orthorhombic
# Distance to the lowest polymorph of the same formula ... 110 meV per atom
data_ZnBiAsO
_space_group_name_H-M_alt 'P 21 21 21'
_space_group_IT_number 19
_space_group_name_Hall 'P 2ac 2ab'
_cell_length_a 6.109
_cell_length_b 6.299
_cell_length_c 8.597
_cell_angle_alpha 90.00
_cell_angle_beta 90.00
_cell_angle_gamma 90.00
loop_
_atom_site_label
_atom_site_type_symbol
_atom_site_fract_x
_atom_site_fract_y
_atom_site_fract_z
Zn1 Zn 0.027 0.236 0.090
Bi1 Bi 0.019 0.202 0.573
As1 As 0.214 0.519 0.248
O1 O 0.209 0.921 0.514

***

[9]
# ZnBiAsO | the Open Quantum Materials Database | PBE | optimized geometry
# Crystal system ... orthorhombic
# Distance to the lowest polymorph of the same formula ... 0 meV per atom
data_ZnBiAsO
_space_group_name_H-M_alt 'P 21 21 21'
_space_group_IT_number 19
_space_group_name_Hall 'P 2ac 2ab'
_cell_length_a 6.138
_cell_length_b 6.981
_cell_length_c 7.477
_cell_angle_alpha 90.00
_cell_angle_beta 90.00
_cell_angle_gamma 90.00
loop_
_atom_site_label
_atom_site_type_symbol
_atom_site_fract_x
_atom_site_fract_y
_atom_site_fract_z
Zn1 Zn 0.040 0.165 0.391
Bi1 Bi 0.062 0.568 0.661
As1 As 0.127 0.820 0.373
O1 O 0.141 0.748 0.900

***

[10]
# ZnBiAsO | the Open Quantum Materials Database | PBE | optimized geometry
# Crystal system ... trigonal
# Distance to the lowest polymorph of the same formula ... 118 meV per atom
data_ZnBiAsO
_space_group_name_H-M_alt 'R -3 m'
_space_group_IT_number 166
_space_group_name_Hall '-R 3 2"'
_cell_length_a 3.6940
_cell_length_b 3.6940
_cell_length_c 40.4723
_cell_angle_alpha 90.00
_cell_angle_beta 90.00
_cell_angle_gamma 120.00
loop_
_atom_site_label
_atom_site_type_symbol
_atom_site_fract_x
_atom_site_fract_y
_atom_site_fract_z
Zn1 Zn 0.0000 0.0000 0.1414
Bi1 Bi 0.0000 0.0000 0.2937
As1 As 0.0000 0.0000 0.4147
O1 O 0.0000 0.0000 0.1923